Material: Rb2CaNbIn
Method: DFT, PBE-GGA
State: optimized geometry

Properties
The density of states at the Fermi level is 1.24 states/eV/atom. As for the crystal system: tetragonal. The total energy comes out at -10.02 eV per formula unit. The calculated formation energy comes out at 1.345 eV per atom.

Cell and atoms, written as POSCAR:
```
Rb2CaNbIn
1.0
7.223 0.000 0.000
0.000 5.795 0.000
0.000 0.000 7.223
Rb Nb In Ca
2 1 1 1
Direct
0.000 0.000 0.500
0.500 0.000 0.000
0.000 0.500 0.000
0.500 0.500 0.500
0.000 0.000 0.000
```